Below is TlV2IO8 after structural relaxation, with properties calculated at the PBE+U level.

a b c (Å): 5.4195 5.4195 8.2902
angles (deg): 92.17 92.17 64.93
Closest atoms and distances in Å follow each position.
Sites, in units of the cell vectors:
Tl 0.0000 0.0000 0.0000  6 O 2.98-3.01
V 0.3665 0.3665 0.7015  4 O 1.65-1.80
V 0.6335 0.6335 0.2985  4 O 1.65-1.80
I 0.0000 0.0000 0.5000  6 O 2.07-2.09
O 0.2215 0.7304 0.6801  1 V 1.80
O 0.2234 0.2234 0.5510  1 V 1.77
O 0.2696 0.7785 0.3199  1 V 1.80
O 0.3044 0.3044 0.8849  1 V 1.65
O 0.6956 0.6956 0.1151  1 V 1.65
O 0.7304 0.2215 0.6801  1 V 1.80
O 0.7766 0.7766 0.4490  1 V 1.77
O 0.7785 0.2696 0.3199  1 V 1.80

- total moment (Bohr magnetons per cell) = 0.00
- symmetry = No. 12
- calculated total energy (Ry per atom) = -0.4492